Computed, not measured: a relaxed structure of RbSrHg17 at the PBE level of DFT.

Cell lengths 8.457, 8.457, 8.457 Å; angles 75.20, 75.20, 75.20 degrees
Atoms (fractional coordinates):
Rb  0.644  0.644  0.644
Sr  0.320  0.320  0.320
Hg  0.303  0.004  0.698
Hg  0.698  0.303  0.004
Hg  0.004  0.698  0.303
Hg  0.303  0.698  0.004
Hg  0.004  0.303  0.698
Hg  0.698  0.004  0.303
Hg  0.348  0.901  0.348
Hg  0.348  0.348  0.901
Hg  0.901  0.348  0.348
Hg  0.594  0.221  0.594
Hg  0.594  0.594  0.221
Hg  0.221  0.594  0.594
Hg  0.945  0.571  0.945
Hg  0.945  0.945  0.571
Hg  0.571  0.945  0.945
Hg  0.942  0.942  0.942
Hg  0.115  0.115  0.115

## Properties
- SG = R3m, No. 160
- total energy (eV/cell) = -10.44
- total moment (Bohr magnetons per cell) = 0.00
- calculated formation energy (meV per atom) = -140